{"formula": "Li2Ga3Ag3", "functional": "PBE", "state": "optimized geometry", "lattice_angstrom": [[6.208, -2.324, 0.000], [6.208, 2.324, 0.000], [-1.792, 0.000, 4.629]], "species": ["Li", "Li", "Ga", "Ga", "Ga", "Ag", "Ag", "Ag"], "frac_coords": [[0.249, 0.249, 0.208], [0.751, 0.751, 0.792], [0.370, 0.370, 0.834], [0.500, 0.500, 0.500], [0.630, 0.630, 0.166], [0.000, 0.000, 0.000], [0.132, 0.132, 0.607], [0.868, 0.868, 0.393]], "spacegroup": "No. 12", "volume_a3_per_cell": 133.6}

=====

{"formula": "Li2GaAg7", "functional": "PBE", "state": "optimized geometry", "lattice_angstrom": [[3.740, -6.549, 0.000], [3.740, 6.549, 0.000], [0.000, 0.000, 4.455]], "species": ["Li", "Li", "Ga", "Ag", "Ag", "Ag", "Ag", "Ag", "Ag", "Ag"], "frac_coords": [[0.200, 0.800, 0.000], [0.800, 0.200, 0.000], [0.500, 0.500, 0.500], [0.000, 0.000, 0.000], [0.203, 0.426, 0.000], [0.298, 0.702, 0.500], [0.426, 0.203, 0.000], [0.574, 0.797, 0.000], [0.702, 0.298, 0.500], [0.797, 0.574, 0.000]], "spacegroup": "No. 65", "volume_a3_per_cell": 218.2}

=====

{"formula": "Li3Ga7Ag", "functional": "PBE", "state": "optimized geometry", "lattice_angstrom": [[1.439, -11.553, 0.000], [1.439, 11.553, 0.000], [0.000, 0.000, 11.825]], "species": ["Li", "Li", "Li", "Li", "Li", "Li", "Ga", "Ga", "Ga", "Ga", "Ga", "Ga", "Ga", "Ga", "Ga", "Ga", "Ga", "Ga", "Ga", "Ga", "Ag", "Ag"], "frac_coords": [[0.096, 0.904, 0.520], [0.096, 0.904, 0.980], [0.243, 0.757, 0.250], [0.757, 0.243, 0.750], [0.904, 0.096, 0.020], [0.904, 0.096, 0.480], [0.296, 0.704, 0.055], [0.296, 0.704, 0.445], [0.344, 0.656, 0.642], [0.344, 0.656, 0.858], [0.377, 0.623, 0.250], [0.491, 0.509, 0.115], [0.491, 0.509, 0.385], [0.509, 0.491, 0.615], [0.509, 0.491, 0.885], [0.623, 0.377, 0.750], [0.656, 0.344, 0.142], [0.656, 0.344, 0.358], [0.704, 0.296, 0.555], [0.704, 0.296, 0.945], [0.064, 0.936, 0.250], [0.936, 0.064, 0.750]], "spacegroup": "No. 63", "volume_a3_per_cell": 393.1}

=====

Results for energy: -22.7; -24.5; -62.0 (in eV/cell, following the order of the records).
Results for spin magnetization: 0.0000; 0.0000; 0.0000 (in μB per atom, following the order of the records).
Results for density: 6.80; 6.38; 5.21 (in g/cm³, following the order of the records).